[1]
This record from Alexandria describes OsPtAu2Se at its PBEsol-relaxed geometry. The functional is meta-GGA SCAN.

Values from the calculation:
* ρ: 12421 kg/m³
* symmetry: No. 123
* E_tot: -293.06 eV per cell
* raw formation energy: 1.48 eV per atom
* Fermi-level density of states: 1.1796 states/eV/atom

Lattice parameters (Å, degrees): 4.7096 4.9356 4.9356 90.00 90.00 90.00
With the nearest neighbours (Å) after each atom.
Sites, in units of the cell vectors:
Os: 0.0000 0.0000 0.0000  2 Pt 2.35, 4 Au 2.47
Au: 0.0000 0.0000 0.5000  2 Os 2.47
Au: 0.0000 0.5000 0.0000  2 Os 2.47
Pt: 0.5000 0.0000 0.0000  2 Os 2.35
Se: 0.5000 0.5000 0.5000  8 Au 3.41, 4 Pt 3.49

[2]
This record from Alexandria describes CaAg2Te at its PBEsol-relaxed geometry. The functional is meta-GGA SCAN.

Values from the calculation:
* ρ: 6760 kg/m³
* symmetry: No. 99
* E_tot: -111.29 eV per cell
* raw formation energy: -0.41 eV per atom
* Fermi-level density of states: 0.3418 states/eV/atom

Lattice parameters (Å, degrees): 3.8835 3.8835 6.2449 90.00 90.00 90.00
With the nearest neighbours (Å) after each atom.
Sites, in units of the cell vectors:
Ag: 0.5000 0.5000 0.1949  4 Ag 2.88, 1 Te 2.89
Ag: 0.0000 0.0000 0.0535  4 Ag 2.88, 1 Ca 2.92
Ca: 0.0000 0.0000 0.5203  1 Ag 2.92, 4 Te 3.05
Te: 0.5000 0.5000 0.7313  1 Ag 2.89, 4 Ca 3.05

[3]
This record from Alexandria describes Rb at its PBEsol-relaxed geometry. The functional is meta-GGA SCAN.

Values from the calculation:
* ρ: 1672 kg/m³
* energy of formation: 0.001 eV/atom
* symmetry: No. 225
* energy relative to the lowest polymorph listed for this composition: 1 meV/atom
* E_tot: -20.74 eV per cell
* Fermi-level density of states: 0.7909 states/eV/atom

Lattice parameters (Å, degrees): 4.9328 4.9328 4.9328 60.00 60.00 60.00
With the nearest neighbours (Å) after each atom.
Sites, in units of the cell vectors:
Rb: 0.5000 0.5000 0.5000  12 Rb 4.93

[4]
This record from Alexandria describes Y6Ga17Pd5 at its PBEsol-relaxed geometry. The functional is meta-GGA SCAN.

Values from the calculation:
* ρ: 7611 kg/m³
* energy of formation: -0.802 eV/atom
* symmetry: No. 12
* E_tot: -631.29 eV per cell
* Fermi-level density of states: 0.2837 states/eV/atom

Lattice parameters (Å, degrees): 4.1794 8.0672 15.5791 104.04 90.00 105.01
With the nearest neighbours (Å) after each atom.
Sites, in units of the cell vectors:
Ga: 0.0457 0.0914 0.6731  3 Ga 2.58-2.71, 3 Pd 2.61-2.63
Ga: 0.6778 0.3556 0.0407  4 Ga 2.53-2.68, 2 Pd 2.72
Ga: 0.4609 0.9218 0.8218  4 Ga 2.54-2.69, 2 Pd 2.70
Ga: 0.8985 0.7970 0.7358  4 Ga 2.50-2.71, 1 Pd 2.59
Ga: 0.3927 0.7854 0.2343  4 Ga 2.48-2.64, 1 Pd 2.51
Ga: 0.7688 0.5375 0.6032  4 Ga 2.50-2.65, 1 Pd 2.53
Ga: 0.2312 0.4625 0.3968  4 Ga 2.50-2.65, 1 Pd 2.53
Ga: 0.3222 0.6444 0.9593  4 Ga 2.53-2.68, 2 Pd 2.72
Ga: 0.6073 0.2146 0.7657  4 Ga 2.48-2.64, 1 Pd 2.51
Ga: 0.5391 0.0782 0.1782  4 Ga 2.54-2.69, 2 Pd 2.70
Ga: 0.2610 0.5221 0.1057  4 Ga 2.48-2.68, 1 Pd 2.57
Ga: 0.1015 0.2030 0.2642  4 Ga 2.50-2.71, 1 Pd 2.59
Ga: 0.7390 0.4779 0.8943  4 Ga 2.48-2.68, 1 Pd 2.57
Ga: 0.8263 0.6525 0.4568  3 Ga 2.60-2.65, 3 Pd 2.62
Ga: 0.1737 0.3475 0.5432  3 Ga 2.60-2.65, 3 Pd 2.62
Ga: 0.5000 0.0000 0.0000  4 Ga 2.68-2.69, 4 Pd 2.77
Ga: 0.9543 0.9086 0.3269  3 Ga 2.58-2.71, 3 Pd 2.61-2.63
Pd: 0.9058 0.8116 0.9038  8 Ga 2.57-2.77
Pd: 0.0942 0.1884 0.0962  8 Ga 2.57-2.77
Pd: 0.6066 0.2132 0.6043  6 Ga 2.51-2.63
Pd: 0.3934 0.7868 0.3957  6 Ga 2.51-2.63
Pd: 0.0000 0.0000 0.5000  4 Ga 2.61-2.62, 4 Pd 2.90
Y: 0.4086 0.8171 0.5939  8 Ga 3.02-3.07, 4 Pd 3.04-3.10
Y: 0.9002 0.8003 0.0974  11 Ga 3.01-3.35, 2 Pd 3.03-3.04
Y: 0.2524 0.5048 0.7492  12 Ga 3.12-3.18, 2 Pd 3.47
Y: 0.0998 0.1997 0.9026  11 Ga 3.01-3.35, 2 Pd 3.03-3.04
Y: 0.5914 0.1829 0.4061  8 Ga 3.02-3.07, 4 Pd 3.04-3.10
Y: 0.7476 0.4952 0.2508  12 Ga 3.12-3.18, 2 Pd 3.47

[5]
This record from Alexandria describes SrHfTc3 at its PBEsol-relaxed geometry. The functional is meta-GGA SCAN.

Values from the calculation:
* ρ: 8267 kg/m³
* energy of formation: 1.291 eV/atom
* symmetry: No. 221
* E_tot: -183.67 eV per cell
* Fermi-level density of states: 0.8454 states/eV/atom

Lattice parameters (Å, degrees): 4.8275 4.8275 4.8275 90.00 90.00 90.00
With the nearest neighbours (Å) after each atom.
Sites, in units of the cell vectors:
Tc: 0.0000 0.0000 0.5000  2 Hf 2.41
Tc: 0.0000 0.5000 0.0000  2 Hf 2.41
Tc: 0.5000 0.0000 0.0000  2 Hf 2.41
Hf: 0.0000 0.0000 0.0000  6 Tc 2.41
Sr: 0.5000 0.5000 0.5000  12 Tc 3.41

[6]
This record from Alexandria describes Be3InPd at its PBEsol-relaxed geometry. The functional is meta-GGA SCAN.

Values from the calculation:
* ρ: 4957 kg/m³
* energy of formation: 1.128 eV/atom
* symmetry: No. 221
* E_tot: -73.58 eV per cell
* Fermi-level density of states: 0.1906 states/eV/atom

Lattice parameters (Å, degrees): 4.3649 4.3649 4.3649 90.00 90.00 90.00
With the nearest neighbours (Å) after each atom.
Sites, in units of the cell vectors:
Pd: 0.5000 0.5000 0.5000  12 Be 3.09
Be: 0.0000 0.0000 0.5000  2 In 2.18
Be: 0.0000 0.5000 0.0000  2 In 2.18
Be: 0.5000 0.0000 0.0000  2 In 2.18
In: 0.0000 0.0000 0.0000  6 Be 2.18

[7]
This record from Alexandria describes Li4Ti3V3Ni2O16 at its PBEsol-relaxed geometry. The functional is meta-GGA SCAN.

Values from the calculation:
* ρ: 4231 kg/m³
* symmetry: No. 8
* E_tot: -314.55 eV per cell
* raw formation energy: -2.59 eV per atom
* Fermi-level density of states: 0.1309 states/eV/atom

Lattice parameters (Å, degrees): 5.7582 5.7582 9.5366 89.77 89.77 59.97
With the nearest neighbours (Å) after each atom.
Sites, in units of the cell vectors:
O: 0.8482 0.3293 0.1054  1 V 1.87, 1 Li 1.92, 1 Ni 2.04, 1 Ti 2.05
O: 0.6772 0.1750 0.6043  1 V 1.89, 1 Li 1.94, 1 Ti 2.01, 1 Ni 2.04
O: 0.0018 0.0018 0.3156  1 Li 1.75, 2 Ti 1.94, 1 V 1.95
O: 0.4764 0.0377 0.3346  1 Ti 1.92, 1 Li 1.93, 1 V 1.96, 1 Ni 2.08
O: 0.4836 0.4836 0.3346  1 Li 1.91, 2 Ti 1.94, 1 Ni 2.08
O: 0.0377 0.4764 0.3346  1 Ti 1.92, 1 Li 1.93, 1 V 1.96, 1 Ni 2.08
O: 0.1655 0.1655 0.6114  1 Li 1.89, 2 V 1.96, 1 Ni 2.05
O: 0.9615 0.5183 0.8340  1 Li 1.93, 1 Ti 1.94, 1 V 1.94, 1 Ni 2.06
O: 0.6730 0.6730 0.5984  2 V 1.93, 1 Li 1.95, 1 Ti 2.00
O: 0.8416 0.8416 0.1025  1 Li 1.93, 2 Ti 1.96, 1 Ni 2.04
O: 0.1750 0.6772 0.6043  1 V 1.89, 1 Li 1.94, 1 Ti 2.01, 1 Ni 2.04
O: 0.3293 0.8482 0.1054  1 V 1.87, 1 Li 1.92, 1 Ni 2.04, 1 Ti 2.05
O: 0.3362 0.3362 0.1013  1 V 1.95, 1 Li 1.97, 2 Ti 1.97
O: 0.5178 0.5178 0.8357  2 V 1.93, 1 Li 1.95, 1 Ni 2.10
O: 0.0071 0.0071 0.8111  1 Li 1.76, 1 Ti 1.92, 2 V 1.96
O: 0.5183 0.9615 0.8340  1 Li 1.93, 1 Ti 1.94, 1 V 1.94, 1 Ni 2.06
Li: 0.0063 0.0063 0.9952  4 O 1.76-1.93
Li: 0.6667 0.6667 0.3936  4 O 1.91-1.95
Li: 0.0105 0.0105 0.4988  4 O 1.75-1.94
Li: 0.3307 0.3307 0.8950  4 O 1.93-1.97
Ti: 0.6613 0.1655 0.2181  6 O 1.92-2.05
Ti: 0.8363 0.8363 0.7189  6 O 1.92-2.01
Ti: 0.1655 0.6613 0.2181  6 O 1.92-2.05
Ni: 0.6697 0.6697 0.9868  6 O 2.04-2.10
Ni: 0.3345 0.3345 0.4879  6 O 2.04-2.08
V: 0.1684 0.1684 0.2074  6 O 1.87-1.96
V: 0.8214 0.3500 0.7109  6 O 1.89-1.96
V: 0.3500 0.8214 0.7109  6 O 1.89-1.96

[8]
This record from Alexandria describes Ag2SnPb2 at its PBEsol-relaxed geometry. The functional is meta-GGA SCAN.

Values from the calculation:
* ρ: 10056 kg/m³
* energy of formation: 0.173 eV/atom
* symmetry: No. 139
* energy relative to the lowest polymorph listed for this composition: 40 meV/atom
* E_tot: -249.35 eV per cell
* Fermi-level density of states: 0.4478 states/eV/atom

Lattice parameters (Å, degrees): 3.8265 3.8265 8.8679 102.46 102.46 90.00
With the nearest neighbours (Å) after each atom.
Sites, in units of the cell vectors:
Sn: 0.0000 0.0000 0.0000  8 Pb 3.28
Ag: 0.7500 0.2500 0.5000  4 Ag 2.71
Ag: 0.2500 0.7500 0.5000  4 Ag 2.71
Pb: 0.6094 0.6094 0.2188  4 Ag 3.05, 4 Sn 3.28
Pb: 0.3906 0.3906 0.7812  4 Ag 3.05, 4 Sn 3.28

Total magnetic moment / μB per atom: 0.21, 0.00, 0.00, 0.00, 0.90, 0.00, 0.25, 0.00